--- i ---
# Pm2Ge3Au2

A relaxed structure of Pm2Ge3Au2 (GGA-PBE, the Alexandria database).

a b c (Å): 9.757 9.757 7.135
angles (deg): 90.00 90.00 153.52
Fractional positions:
Pm1 0.051 0.949 0.750
Pm2 0.154 0.846 0.250
Pm3 0.846 0.154 0.750
Pm4 0.949 0.051 0.250
Ge1 0.222 0.778 0.750
Ge2 0.440 0.560 0.570
Ge3 0.440 0.560 0.930
Ge4 0.560 0.440 0.070
Ge5 0.560 0.440 0.430
Ge6 0.778 0.222 0.250
Au1 0.312 0.688 0.050
Au2 0.312 0.688 0.450
Au3 0.688 0.312 0.550
Au4 0.688 0.312 0.950

Properties
total magnetic moment = 0.00 μB per cell
calculated volume = 21.6 Å³/atom

---

--- ii ---
# Pm2Ge3Au2

A relaxed structure of Pm2Ge3Au2 (GGA-PBE, the Alexandria database).

a b c (Å): 5.760 5.760 6.922
angles (deg): 106.33 106.33 44.35
Fractional positions:
Pm1 0.135 0.135 0.287
Pm2 0.865 0.865 0.713
Ge1 0.400 0.400 0.062
Ge2 0.500 0.500 0.500
Ge3 0.600 0.600 0.938
Au1 0.168 0.168 0.764
Au2 0.832 0.832 0.236

Properties
total magnetic moment = 0.00 μB per cell
calculated volume = 21.9 Å³/atom

---

Preferred: i; penalty for the next structure: 5.1 kJ/mol of atoms.

---

--- i ---
# TbPmGeAu

A relaxed structure of TbPmGeAu (GGA-PBE, the Alexandria database).

a b c (Å): 5.154 5.154 5.154
angles (deg): 60.00 60.00 60.00
Fractional positions:
Tb1 0.000 0.000 0.000
Pm1 0.500 0.500 0.500
Ge1 0.750 0.750 0.750
Au1 0.250 0.250 0.250

Properties
total magnetic moment = 0.70 μB per cell
calculated volume = 24.2 Å³/atom

---

--- ii ---
# TbPmGeAu

A relaxed structure of TbPmGeAu (GGA-PBE, the Alexandria database).

a b c (Å): 4.379 5.934 5.934
angles (deg): 40.49 90.00 90.00
Fractional positions:
Tb1 0.000 0.000 0.000
Pm1 0.500 0.722 0.722
Ge1 0.500 0.451 0.451
Au1 0.000 0.282 0.282

Properties
total magnetic moment = 0.00 μB per cell
calculated volume = 25.0 Å³/atom

---

Preferred: ii; penalty for the next structure: 8.8 kJ/mol of atoms.

---

--- i ---
# PmThGeAu

A relaxed structure of PmThGeAu (GGA-PBE, the Alexandria database).

a b c (Å): 4.402 5.969 5.969
angles (deg): 41.56 90.00 90.00
Fractional positions:
Pm1 0.000 0.000 0.000
Th1 0.500 0.721 0.721
Ge1 0.000 0.275 0.275
Au1 0.500 0.441 0.441

Properties
total magnetic moment = 0.28 μB per cell
calculated volume = 26.0 Å³/atom

---

--- ii ---
# PmThGeAu

A relaxed structure of PmThGeAu (GGA-PBE, the Alexandria database).

a b c (Å): 5.228 5.228 5.228
angles (deg): 60.00 60.00 60.00
Fractional positions:
Pm1 0.000 0.000 0.000
Th1 0.500 0.500 0.500
Ge1 0.750 0.750 0.750
Au1 0.250 0.250 0.250

Properties
total magnetic moment = 0.00 μB per cell
calculated volume = 25.3 Å³/atom

---

Preferred: i; penalty for the next structure: 12.2 kJ/mol of atoms.